(a)
The following is a PBEsol calculation of a geometry-optimized K4TiO4 structure, from Alexandria via LeMat-Bulk.

Values from the calculation:
Space-group type: P-1, No. 2
DOS at the Fermi energy: 0.00 states/eV per cell

Cell lengths 6.3442, 6.3880, 9.4845 Å; angles 72.17, 79.99, 67.00 degrees
Fractional positions:
K 0.2236 0.4611 0.1186
K 0.2473 0.9172 0.3381
K 0.2491 0.2691 0.5289
K 0.2757 0.0129 0.9377
K 0.7243 0.9871 0.0623
K 0.7509 0.7309 0.4711
K 0.7527 0.0828 0.6619
K 0.7764 0.5389 0.8814
Ti 0.2717 0.6570 0.7475
Ti 0.7283 0.3430 0.2525
O 0.0451 0.7891 0.8769
O 0.1251 0.6676 0.5939
O 0.4488 0.3563 0.8451
O 0.4529 0.8375 0.6912
O 0.5471 0.1625 0.3088
O 0.5512 0.6437 0.1549
O 0.8749 0.3324 0.4061
O 0.9549 0.2109 0.1231

***

(b)
The following is a PBEsol calculation of a geometry-optimized K4TiO4 structure, from Alexandria via LeMat-Bulk.

Values from the calculation:
Space-group type: P2_1/c, No. 14
DOS at the Fermi energy: 0.00 states/eV per cell

Cell lengths 10.4462, 6.5717, 10.6387 Å; angles 90.00, 111.40, 90.00 degrees
Fractional positions:
K 0.0570 0.0860 0.1929
K 0.0570 0.4140 0.6929
K 0.1671 0.6022 0.0862
K 0.1671 0.8978 0.5862
K 0.3674 0.6723 0.8893
K 0.3674 0.8277 0.3893
K 0.4341 0.2084 0.7992
K 0.4341 0.2916 0.2992
K 0.5659 0.7084 0.7008
K 0.5659 0.7916 0.2008
K 0.6326 0.1723 0.6107
K 0.6326 0.3277 0.1107
K 0.8329 0.1022 0.4138
K 0.8329 0.3978 0.9138
K 0.9430 0.5860 0.3071
K 0.9430 0.9140 0.8071
Ti 0.2440 0.1356 0.9928
Ti 0.2440 0.3644 0.4928
Ti 0.7560 0.6356 0.5072
Ti 0.7560 0.8644 0.0072
O 0.0753 0.2398 0.9696
O 0.0753 0.2602 0.4696
O 0.2285 0.0049 0.8364
O 0.2285 0.4951 0.3364
O 0.3047 0.5358 0.6404
O 0.3047 0.9642 0.1404
O 0.3654 0.1513 0.5258
O 0.3654 0.3487 0.0258
O 0.6346 0.6513 0.9742
O 0.6346 0.8487 0.4742
O 0.6953 0.0358 0.8596
O 0.6953 0.4642 0.3596
O 0.7715 0.5049 0.6636
O 0.7715 0.9951 0.1636
O 0.9247 0.7398 0.5304
O 0.9247 0.7602 0.0304

***

Last place for stability: (b)

***

(a)
The following is a PBEsol calculation of a geometry-optimized KOs3 structure, from Alexandria via LeMat-Bulk.

Values from the calculation:
Space-group type: Cmmm, No. 65
DOS at the Fermi energy: 5.88 states/eV per cell

Cell lengths 5.1429, 5.1429, 2.5815 Å; angles 90.00, 90.00, 110.54 degrees
Fractional positions:
K 0.0000 0.0000 0.0000
Os 0.0000 0.5000 0.5000
Os 0.5000 0.0000 0.5000
Os 0.5000 0.5000 0.0000

***

(b)
The following is a PBEsol calculation of a geometry-optimized KOs3 structure, from Alexandria via LeMat-Bulk.

Values from the calculation:
Space-group type: R-3m, No. 166
DOS at the Fermi energy: 3.08 states/eV per cell

Cell lengths 10.2975, 10.2975, 10.2975 Å; angles 15.26, 15.26, 15.26 degrees
Fractional positions:
K 0.0000 0.0000 0.0000
Os 0.2367 0.2367 0.2367
Os 0.5000 0.5000 0.5000
Os 0.7633 0.7633 0.7633

***

(c)
The following is a PBEsol calculation of a geometry-optimized KOs3 structure, from Alexandria via LeMat-Bulk.

Values from the calculation:
Space-group type: P4/mmm, No. 123
DOS at the Fermi energy: 4.70 states/eV per cell

Cell lengths 2.7255, 2.7255, 9.3984 Å; angles 90.00, 90.00, 90.00 degrees
Fractional positions:
K 0.0000 0.0000 0.0000
Os 0.0000 0.0000 0.5000
Os 0.5000 0.5000 0.3053
Os 0.5000 0.5000 0.6947

***

Last place for stability: (a)

***

(a)
The following is a PBEsol calculation of a geometry-optimized K2POs structure, from Alexandria via LeMat-Bulk.

Values from the calculation:
Space-group type: Imm2, No. 44
DOS at the Fermi energy: 1.76 states/eV per cell

Cell lengths 6.2056, 6.2056, 6.2056 Å; angles 145.10, 126.47, 65.51 degrees
Fractional positions:
K 0.0000 0.0000 0.0000
K 0.6901 0.1901 0.5000
P 0.4151 0.4151 0.0000
Os 0.3075 0.8075 0.5000

***

(b)
The following is a PBEsol calculation of a geometry-optimized K2POs structure, from Alexandria via LeMat-Bulk.

Values from the calculation:
Space-group type: F-43m, No. 216
DOS at the Fermi energy: 3.41 states/eV per cell

Cell lengths 4.8243, 4.8243, 4.8243 Å; angles 60.00, 60.00, 60.00 degrees
Fractional positions:
K 0.0000 0.0000 0.0000
K 0.2500 0.2500 0.2500
P 0.5000 0.5000 0.5000
Os 0.7500 0.7500 0.7500

***

Last place for stability: (b)

***

(a)
The following is a PBEsol calculation of a geometry-optimized KPOs2 structure, from Alexandria via LeMat-Bulk.

Values from the calculation:
Space-group type: Fm-3m, No. 225
DOS at the Fermi energy: 4.72 states/eV per cell

Cell lengths 4.3598, 4.3598, 4.3598 Å; angles 60.00, 60.00, 60.00 degrees
Fractional positions:
K 0.0000 0.0000 0.0000
P 0.5000 0.5000 0.5000
Os 0.2500 0.2500 0.2500
Os 0.7500 0.7500 0.7500

***

(b)
The following is a PBEsol calculation of a geometry-optimized KPOs2 structure, from Alexandria via LeMat-Bulk.

Values from the calculation:
Space-group type: Imm2, No. 44
DOS at the Fermi energy: 4.13 states/eV per cell

Cell lengths 5.8769, 5.8769, 5.8769 Å; angles 153.72, 124.00, 62.89 degrees
Fractional positions:
K 0.0000 0.0000 0.0000
P 0.7250 0.2250 0.5000
Os 0.3173 0.8173 0.5000
Os 0.5316 0.5316 0.0000

***

Last place for stability: (a)

***

(a)
The following is a PBEsol calculation of a geometry-optimized K2OsPt structure, from Alexandria via LeMat-Bulk.

Values from the calculation:
Space-group type: Fm-3m, No. 225
DOS at the Fermi energy: 8.62 states/eV per cell

Cell lengths 5.1453, 5.1453, 5.1453 Å; angles 60.00, 60.00, 60.00 degrees
Fractional positions:
K 0.2500 0.2500 0.2500
K 0.7500 0.7500 0.7500
Os 0.0000 0.0000 0.0000
Pt 0.5000 0.5000 0.5000

***

(b)
The following is a PBEsol calculation of a geometry-optimized K2OsPt structure, from Alexandria via LeMat-Bulk.

Values from the calculation:
Space-group type: Cmmm, No. 65
DOS at the Fermi energy: 3.22 states/eV per cell

Cell lengths 6.0253, 6.0253, 2.6693 Å; angles 90.00, 90.00, 125.60 degrees
Fractional positions:
K 0.0000 0.5000 0.0000
K 0.5000 0.0000 0.0000
Os 0.0000 0.0000 0.5000
Pt 0.5000 0.5000 0.5000

***

Last place for stability: (a)

***

(a)
The following is a PBEsol calculation of a geometry-optimized KRe2Os structure, from Alexandria via LeMat-Bulk.

Values from the calculation:
Space-group type: P4/mmm, No. 123
DOS at the Fermi energy: 4.52 states/eV per cell

Cell lengths 2.7054, 2.7054, 9.7692 Å; angles 90.00, 90.00, 90.00 degrees
Fractional positions:
K 0.0000 0.0000 0.0000
Re 0.5000 0.5000 0.3058
Re 0.5000 0.5000 0.6942
Os 0.0000 0.0000 0.5000

***

(b)
The following is a PBEsol calculation of a geometry-optimized KRe2Os structure, from Alexandria via LeMat-Bulk.

Values from the calculation:
Space-group type: P4mm, No. 99
DOS at the Fermi energy: 4.30 states/eV per cell

Cell lengths 2.7590, 2.7590, 9.4624 Å; angles 90.00, 90.00, 90.00 degrees
Fractional positions:
K 0.0000 0.0000 0.0000
Re 0.0000 0.0000 0.4823
Re 0.5000 0.5000 0.6851
Os 0.5000 0.5000 0.2992

***

Last place for stability: (a)

***

(a)
The following is a PBEsol calculation of a geometry-optimized KOs2Ru structure, from Alexandria via LeMat-Bulk.

Values from the calculation:
Space-group type: Immm, No. 71
DOS at the Fermi energy: 5.11 states/eV per cell

Cell lengths 5.8385, 5.8385, 5.8385 Å; angles 153.62, 131.40, 56.13 degrees
Fractional positions:
K 0.0000 0.0000 0.0000
Os 0.2834 0.7834 0.5000
Os 0.7166 0.2166 0.5000
Ru 0.5000 0.5000 0.0000

***

(b)
The following is a PBEsol calculation of a geometry-optimized KOs2Ru structure, from Alexandria via LeMat-Bulk.

Values from the calculation:
Space-group type: Pm, No. 6
DOS at the Fermi energy: 3.88 states/eV per cell

Cell lengths 2.6721, 3.7714, 7.7351 Å; angles 90.00, 90.16, 90.00 degrees
Fractional positions:
K 0.0000 0.0000 0.0000
Os 0.0022 0.0000 0.5040
Os 0.5033 0.5000 0.6587
Ru 0.5009 0.5000 0.3359

***

Last place for stability: (a)

***

(a)
The following is a PBEsol calculation of a geometry-optimized KScOs2 structure, from Alexandria via LeMat-Bulk.

Values from the calculation:
Space-group type: P4/mmm, No. 123
DOS at the Fermi energy: 5.03 states/eV per cell

Cell lengths 2.7537, 2.7537, 9.6325 Å; angles 90.00, 90.00, 90.00 degrees
Fractional positions:
K 0.0000 0.0000 0.0000
Sc 0.0000 0.0000 0.5000
Os 0.5000 0.5000 0.2876
Os 0.5000 0.5000 0.7124

***

(b)
The following is a PBEsol calculation of a geometry-optimized KScOs2 structure, from Alexandria via LeMat-Bulk.

Values from the calculation:
Space-group type: Cmmm, No. 65
DOS at the Fermi energy: 2.65 states/eV per cell

Cell lengths 2.7787, 2.7787, 9.8990 Å; angles 90.00, 90.00, 113.99 degrees
Fractional positions:
K 0.0000 0.0000 0.0000
Sc 0.0000 0.0000 0.5000
Os 0.5000 0.5000 0.2831
Os 0.5000 0.5000 0.7169

***

Last place for stability: (a)